{"formula": "InSnPbCl", "functional": "GGA-PBE", "state": "optimized geometry", "lattice": [[0.0000, 3.7858, 3.7858], [3.7858, 0.0000, 3.7858], [3.7858, 3.7858, 0.0000]], "species": ["In", "Sn", "Pb", "Cl"], "frac_coords": [[0.0000, 0.0000, 0.0000], [0.2500, 0.2500, 0.2500], [0.5000, 0.5000, 0.5000], [0.7500, 0.7500, 0.7500]], "dos_at_fermi_per_ev_cell": 1.34, "total_energy_ev_per_atom": -3.29, "raw_formation_energy_ev_per_atom": -0.215, "spacegroup": "F-43m"}